No. 1
LiReCF2 | GGA-PBEsol | relaxed

Calculated values
The value obtained for the raw formation energy is 287 kJ/mol of formula units. The density of states at the Fermi level is 1.8 states/eV per cell.

Geometry as CIF:
```
data_LiReCF2
_space_group_name_H-M_alt 'P 4/m m m'
_space_group_IT_number 123
_space_group_name_Hall '-P 4 2'
_cell_length_a 4.5467
_cell_length_b 4.5467
_cell_length_c 3.8594
_cell_angle_alpha 90.00
_cell_angle_beta 90.00
_cell_angle_gamma 90.00
loop_
_atom_site_label
_atom_site_fract_x
_atom_site_fract_y
_atom_site_fract_z
_atom_site_occupancy
Li1 0.0000 0.0000 0.0000 1
Re1 0.5000 0.5000 0.0000 1
C1 0.5000 0.5000 0.5000 1
F1 0.0000 0.5000 0.5000 1
```

***

No. 2
Na2LuC2O6F | GGA-PBEsol | relaxed

Calculated values
The value obtained for the raw formation energy is -2609 kJ/mol of formula units. The density of states at the Fermi level is 0.0 states/eV per cell.

Geometry as CIF:
```
data_Na2LuC2O6F
_space_group_name_H-M_alt 'C 1 2/c 1'
_space_group_IT_number 15
_space_group_name_Hall '-C 2yc'
_cell_length_a 17.2588
_cell_length_b 6.0176
_cell_length_c 11.1756
_cell_angle_alpha 90.00
_cell_angle_beta 92.41
_cell_angle_gamma 90.00
loop_
_atom_site_label
_atom_site_fract_x
_atom_site_fract_y
_atom_site_fract_z
_atom_site_occupancy
Na1 0.1108 0.0904 0.3788 1
Na2 0.2413 0.4051 0.8629 1
Lu1 0.0589 0.3442 0.6275 1
C1 0.0593 0.2052 0.1152 1
C2 0.2060 0.4164 0.5820 1
O1 0.0049 0.3223 0.0601 1
O2 0.0727 0.0046 0.0858 1
O3 0.0982 0.3063 0.2001 1
O4 0.1510 0.4195 0.4970 1
O5 0.1905 0.3035 0.6776 1
O6 0.2315 0.0247 0.9291 1
F1 0.0580 0.2607 0.8173 1
```

***

No. 3
RbMgCO3F | GGA-PBEsol | relaxed

Calculated values
The value obtained for the raw formation energy is -1537 kJ/mol of formula units. The density of states at the Fermi level is 0.0 states/eV per cell.

Geometry as CIF:
```
data_RbMgCO3F
_space_group_name_H-M_alt 'P -6 2 m'
_space_group_IT_number 189
_space_group_name_Hall 'P -6 -2'
_cell_length_a 9.0299
_cell_length_b 9.0299
_cell_length_c 3.9411
_cell_angle_alpha 90.00
_cell_angle_beta 90.00
_cell_angle_gamma 120.00
loop_
_atom_site_label
_atom_site_fract_x
_atom_site_fract_y
_atom_site_fract_z
_atom_site_occupancy
Rb1 0.0000 0.6161 0.0000 1
Mg1 0.0000 0.2796 0.5000 1
C1 0.0000 0.0000 0.5000 1
C2 0.3333 0.6667 0.5000 1
O1 0.0000 0.8568 0.5000 1
O2 0.1981 0.5175 0.5000 1
F1 0.0000 0.2771 0.0000 1
```

***

No. 4
Mo3CF | GGA-PBEsol | relaxed

Calculated values
The value obtained for the raw formation energy is 253 kJ/mol of formula units. The density of states at the Fermi level is 4.9 states/eV per cell.

Geometry as CIF:
```
data_Mo3CF
_space_group_name_H-M_alt 'P m -3 m'
_space_group_IT_number 221
_space_group_name_Hall '-P 4 2 3'
_cell_length_a 4.0853
_cell_length_b 4.0853
_cell_length_c 4.0853
_cell_angle_alpha 90.00
_cell_angle_beta 90.00
_cell_angle_gamma 90.00
loop_
_atom_site_label
_atom_site_fract_x
_atom_site_fract_y
_atom_site_fract_z
_atom_site_occupancy
Mo1 0.0000 0.0000 0.5000 1
C1 0.0000 0.0000 0.0000 1
F1 0.5000 0.5000 0.5000 1
```

***

No. 5
MoC2F2 | GGA-PBEsol | relaxed

Calculated values
The value obtained for the raw formation energy is 516 kJ/mol of formula units. The density of states at the Fermi level is 6.2 states/eV per cell.

Geometry as CIF:
```
data_MoC2F2
_space_group_name_H-M_alt 'I 4/m m m'
_space_group_IT_number 139
_space_group_name_Hall '-I 4 2'
_cell_length_a 3.1193
_cell_length_b 3.1193
_cell_length_c 9.2758
_cell_angle_alpha 90.00
_cell_angle_beta 90.00
_cell_angle_gamma 90.00
loop_
_atom_site_label
_atom_site_fract_x
_atom_site_fract_y
_atom_site_fract_z
_atom_site_occupancy
Mo1 0.0000 0.0000 0.0000 1
C1 0.0000 0.0000 0.4237 1
F1 0.0000 0.5000 0.2500 1
```

***

No. 6
MoCN2F | GGA-PBEsol | relaxed

Calculated values
The value obtained for the raw formation energy is 562 kJ/mol of formula units. The density of states at the Fermi level is 2.3 states/eV per cell.

Geometry as CIF:
```
data_MoCN2F
_space_group_name_H-M_alt 'P 4/m m m'
_space_group_IT_number 123
_space_group_name_Hall '-P 4 2'
_cell_length_a 3.8872
_cell_length_b 3.8872
_cell_length_c 3.9147
_cell_angle_alpha 90.00
_cell_angle_beta 90.00
_cell_angle_gamma 90.00
loop_
_atom_site_label
_atom_site_fract_x
_atom_site_fract_y
_atom_site_fract_z
_atom_site_occupancy
Mo1 0.0000 0.0000 0.0000 1
C1 0.5000 0.5000 0.5000 1
N1 0.0000 0.5000 0.0000 1
F1 0.0000 0.0000 0.5000 1
```

***

No. 7
NiCNF2 | GGA-PBEsol | relaxed

Calculated values
The value obtained for the raw formation energy is 540 kJ/mol of formula units. The density of states at the Fermi level is 3.4 states/eV per cell.

Geometry as CIF:
```
data_NiCNF2
_space_group_name_H-M_alt 'P 4/m m m'
_space_group_IT_number 123
_space_group_name_Hall '-P 4 2'
_cell_length_a 3.7144
_cell_length_b 3.7144
_cell_length_c 3.6586
_cell_angle_alpha 90.00
_cell_angle_beta 90.00
_cell_angle_gamma 90.00
loop_
_atom_site_label
_atom_site_fract_x
_atom_site_fract_y
_atom_site_fract_z
_atom_site_occupancy
Ni1 0.0000 0.0000 0.0000 1
C1 0.5000 0.5000 0.5000 1
N1 0.0000 0.0000 0.5000 1
F1 0.0000 0.5000 0.0000 1
```

***

No. 8
SbC2NO2F6 | GGA-PBEsol | relaxed

Calculated values
The value obtained for the raw formation energy is -1835 kJ/mol of formula units. The density of states at the Fermi level is 0.0 states/eV per cell.

Geometry as CIF:
```
data_SbC2NO2F6
_space_group_name_H-M_alt 'P 1 21/c 1'
_space_group_IT_number 14
_space_group_name_Hall '-P 2ybc'
_cell_length_a 8.8321
_cell_length_b 5.5296
_cell_length_c 14.9624
_cell_angle_alpha 90.00
_cell_angle_beta 100.33
_cell_angle_gamma 90.00
loop_
_atom_site_label
_atom_site_fract_x
_atom_site_fract_y
_atom_site_fract_z
_atom_site_occupancy
Sb1 0.2098 0.2328 0.4028 1
C1 0.1397 0.6545 0.1416 1
C2 0.3538 0.5891 0.6709 1
N1 0.2873 0.7139 0.1600 1
O1 0.0303 0.7013 0.6220 1
O2 0.4327 0.0793 0.1845 1
F1 0.1144 0.0784 0.6455 1
F2 0.1734 0.5452 0.9699 1
F3 0.1754 0.0486 0.2938 1
F4 0.2138 0.0789 0.0089 1
F5 0.2156 0.5176 0.3336 1
F6 0.4248 0.1891 0.4211 1
```

***

No. 9
ReCN2F | GGA-PBEsol | relaxed

Calculated values
The value obtained for the raw formation energy is 647 kJ/mol of formula units. The density of states at the Fermi level is 3.7 states/eV per cell.

Geometry as CIF:
```
data_ReCN2F
_space_group_name_H-M_alt 'P 4/m m m'
_space_group_IT_number 123
_space_group_name_Hall '-P 4 2'
_cell_length_a 3.8352
_cell_length_b 3.8352
_cell_length_c 3.9738
_cell_angle_alpha 90.00
_cell_angle_beta 90.00
_cell_angle_gamma 90.00
loop_
_atom_site_label
_atom_site_fract_x
_atom_site_fract_y
_atom_site_fract_z
_atom_site_occupancy
Re1 0.0000 0.0000 0.0000 1
C1 0.5000 0.5000 0.5000 1
N1 0.0000 0.5000 0.0000 1
F1 0.0000 0.0000 0.5000 1
```

***

No. 10
RhCNF2 | GGA-PBEsol | relaxed

Calculated values
The value obtained for the raw formation energy is 532 kJ/mol of formula units. The density of states at the Fermi level is 3.6 states/eV per cell.

Geometry as CIF:
```
data_RhCNF2
_space_group_name_H-M_alt 'P 4/m m m'
_space_group_IT_number 123
_space_group_name_Hall '-P 4 2'
_cell_length_a 4.0940
_cell_length_b 4.0940
_cell_length_c 3.6378
_cell_angle_alpha 90.00
_cell_angle_beta 90.00
_cell_angle_gamma 90.00
loop_
_atom_site_label
_atom_site_fract_x
_atom_site_fract_y
_atom_site_fract_z
_atom_site_occupancy
Rh1 0.0000 0.0000 0.0000 1
C1 0.5000 0.5000 0.5000 1
N1 0.0000 0.0000 0.5000 1
F1 0.0000 0.5000 0.0000 1
```

***

No. 11
ScCNF2 | GGA-PBEsol | relaxed

Calculated values
The value obtained for the raw formation energy is -414 kJ/mol of formula units. The density of states at the Fermi level is 2.0 states/eV per cell. The energy above the most stable polymorph in this dataset comes out at 0 meV per atom.

Geometry as CIF:
```
data_ScCNF2
_space_group_name_H-M_alt 'P 4/m m m'
_space_group_IT_number 123
_space_group_name_Hall '-P 4 2'
_cell_length_a 4.4762
_cell_length_b 4.4762
_cell_length_c 2.5045
_cell_angle_alpha 90.00
_cell_angle_beta 90.00
_cell_angle_gamma 90.00
loop_
_atom_site_label
_atom_site_fract_x
_atom_site_fract_y
_atom_site_fract_z
_atom_site_occupancy
Sc1 0.0000 0.0000 0.0000 1
C1 0.5000 0.5000 0.5000 1
N1 0.5000 0.5000 0.0000 1
F1 0.0000 0.5000 0.5000 1
```

***

No. 12
ScCNF2 | GGA-PBEsol | relaxed

Calculated values
The value obtained for the raw formation energy is -118 kJ/mol of formula units. The density of states at the Fermi level is 3.7 states/eV per cell. The energy above the most stable polymorph in this dataset comes out at 613 meV per atom.

Geometry as CIF:
```
data_ScCNF2
_space_group_name_H-M_alt 'P 4/m m m'
_space_group_IT_number 123
_space_group_name_Hall '-P 4 2'
_cell_length_a 3.9066
_cell_length_b 3.9066
_cell_length_c 4.4398
_cell_angle_alpha 90.00
_cell_angle_beta 90.00
_cell_angle_gamma 90.00
loop_
_atom_site_label
_atom_site_fract_x
_atom_site_fract_y
_atom_site_fract_z
_atom_site_occupancy
Sc1 0.0000 0.0000 0.0000 1
C1 0.5000 0.5000 0.5000 1
N1 0.0000 0.0000 0.5000 1
F1 0.0000 0.5000 0.0000 1
```